The following is a DFT calculation (PBE) of a geometry-optimized LiTlNi2 structure.

```
4
Lattice="3.854 0.000 0.000 0.000 3.855 0.000 0.000 0.000 3.790" Properties=species:S:1:pos:R:3 pbc="T T T"
Ni 1.927 1.927 0.000
Tl 1.927 0.000 1.895
Ni 0.000 0.000 0.000
Li 0.000 1.927 1.895
```

Properties
For the total moment, the calculation gives 0.00 μB/f.u. The formation energy from the elements is 0.065 eV per atom. The calculation puts the total DFT energy (no corrections) at -15.582 eV for the cell shown. The density of states at the Fermi level comes out at 2.75 states/eV per cell. As for the symmetry: P4/mmm, No. 123.